Record 1
DFT (PBE) results for CSe after structural relaxation.

Summary:
Its total DFT energy (no corrections) is -4.28 eV per atom. The formation energy without anion corrections is 2.077 eV/atom. As for the density of states at the Fermi level: 1.8 states/eV per cell.

Unit cell a=3.6532 b=3.6532 c=3.6532 alpha=60.00 beta=60.00 gamma=60.00
Last column: nearest neighbours and their distance in Å.
Element x y z (fractional)
C  0.0000  0.0000  0.0000  4 Se 2.24
Se  0.7500  0.7500  0.7500  4 C 2.24

***

Record 2
DFT (PBE) results for C2Se after structural relaxation.

Summary:
Its total DFT energy (no corrections) is -5.64 eV per atom. The formation energy without anion corrections is 1.671 eV/atom. As for the density of states at the Fermi level: 3.8 states/eV per cell.

Unit cell a=3.5269 b=3.5269 c=12.4123 alpha=90.00 beta=90.00 gamma=120.00
Last column: nearest neighbours and their distance in Å.
Element x y z (fractional)
C  0.0000  0.0000  0.0515  1 C 1.28
C  0.0000  0.0000  0.9485  1 C 1.28
C  0.3333  0.6667  0.5885  1 C 1.32
C  0.3333  0.6667  0.6944  1 C 1.32
C  0.6667  0.3333  0.3056  1 C 1.32
C  0.6667  0.3333  0.4115  1 C 1.32
Se  0.0000  0.0000  0.5000  6 C 2.31
Se  0.3333  0.6667  0.8345  1 C 1.74
Se  0.6667  0.3333  0.1655  1 C 1.74

***

Record 3
DFT (PBE) results for CSe3 after structural relaxation.

Summary:
Its total DFT energy (no corrections) is -4.28 eV per atom. The formation energy without anion corrections is 0.635 eV/atom.

Unit cell a=4.8268 b=5.0494 c=5.4331 alpha=86.87 beta=77.01 gamma=75.91
Last column: nearest neighbours and their distance in Å.
Element x y z (fractional)
C  0.0000  0.0000  0.0000  3 Se 1.78-1.93
Se  0.0055  0.2352  0.7444  1 C 1.78
Se  0.3071  0.7475  0.1228  1 C 1.92
Se  0.6838  0.9160  0.2542  1 C 1.93

***

Record 4
DFT (PBE) results for C4Se after structural relaxation.

Summary:
Its total DFT energy (no corrections) is -3.95 eV per atom. The formation energy without anion corrections is 4.122 eV/atom. As for the density of states at the Fermi level: 3.6 states/eV per cell.

Unit cell a=3.8419 b=3.8419 c=3.8419 alpha=90.00 beta=90.00 gamma=90.00
Last column: nearest neighbours and their distance in Å.
Element x y z (fractional)
C  0.0000  0.0000  0.0000  12 C 2.72
C  0.0000  0.5000  0.5000  2 Se 1.92
C  0.5000  0.0000  0.5000  2 Se 1.92
C  0.5000  0.5000  0.0000  2 Se 1.92
Se  0.5000  0.5000  0.5000  6 C 1.92

***

Record 5
DFT (PBE) results for C2Se after structural relaxation.

Summary:
Its total DFT energy (no corrections) is -7.04 eV per atom. The formation energy without anion corrections is 0.271 eV/atom. As for the density of states at the Fermi level: 4.4 states/eV per cell.

Unit cell a=5.1213 b=5.1213 c=9.8545 alpha=104.70 beta=104.70 gamma=28.75
Last column: nearest neighbours and their distance in Å.
Element x y z (fractional)
C  0.0523  0.0523  0.0667  3 C 1.44-1.45
C  0.3988  0.3988  0.8708  2 C 1.44
C  0.6012  0.6012  0.1292  2 C 1.44
C  0.9477  0.9477  0.9333  3 C 1.44-1.45
Se  0.2630  0.2630  0.6966  1 C 1.88
Se  0.7370  0.7370  0.3034  1 C 1.88

***

Record 6
DFT (PBE) results for CSe after structural relaxation.

Summary:
Its total DFT energy (no corrections) is -4.85 eV per atom. The formation energy without anion corrections is 1.508 eV/atom. As for the density of states at the Fermi level: 2.7 states/eV per cell.

Unit cell a=2.6948 b=2.6948 c=8.0238 alpha=90.00 beta=90.00 gamma=90.00
Last column: nearest neighbours and their distance in Å.
Element x y z (fractional)
C  0.2500  0.2500  0.0228  4 C 1.94, 1 Se 1.98
C  0.7500  0.7500  0.9772  4 C 1.94, 1 Se 1.98
Se  0.2500  0.2500  0.2693  1 C 1.98
Se  0.7500  0.7500  0.7307  1 C 1.98

***

Record 7
DFT (PBE) results for CSe after structural relaxation.

Summary:
Its total DFT energy (no corrections) is -3.47 eV per atom. The formation energy without anion corrections is 2.880 eV/atom. As for the density of states at the Fermi level: 2.0 states/eV per cell.

Unit cell a=4.2588 b=4.2588 c=4.2588 alpha=60.00 beta=60.00 gamma=60.00
Last column: nearest neighbours and their distance in Å.
Element x y z (fractional)
C  0.1250  0.1250  0.1250  4 Se 2.61, 4 C 2.61
C  0.8750  0.8750  0.8750  4 C 2.61, 4 Se 2.61
Se  0.3750  0.3750  0.3750  4 Se 2.61, 4 C 2.61
Se  0.6250  0.6250  0.6250  4 Se 2.61, 4 C 2.61

***

Record 8
DFT (PBE) results for CSe after structural relaxation.

Summary:
Its total DFT energy (no corrections) is -4.71 eV per atom. The formation energy without anion corrections is 1.647 eV/atom.

Unit cell a=3.0677 b=3.0677 c=10.8311 alpha=90.00 beta=90.00 gamma=120.00
Last column: nearest neighbours and their distance in Å.
Element x y z (fractional)
C  0.3333  0.6667  0.1797  3 Se 2.06
C  0.6667  0.3333  0.8203  3 Se 2.06
Se  0.3333  0.6667  0.7239  3 C 2.06
Se  0.6667  0.3333  0.2761  3 C 2.06

***

Record 9
DFT (PBE) results for CSe3 after structural relaxation.

Summary:
Its total DFT energy (no corrections) is -3.90 eV per atom. The formation energy without anion corrections is 1.017 eV/atom. As for the density of states at the Fermi level: 1.4 states/eV per cell.

Unit cell a=3.1358 b=3.7246 c=7.4515 alpha=90.00 beta=90.00 gamma=90.00
Last column: nearest neighbours and their distance in Å.
Element x y z (fractional)
C  0.0000  0.0000  0.0000  2 Se 1.95
Se  0.0000  0.5000  0.4630  2 Se 2.37
Se  0.5000  0.0000  0.8434  2 C 1.95
Se  0.5000  0.5000  0.2239  2 Se 2.37

***

Record 10
DFT (PBE) results for C2Se after structural relaxation.

Summary:
Its total DFT energy (no corrections) is -6.44 eV per atom. The formation energy without anion corrections is 0.868 eV/atom. As for the density of states at the Fermi level: 2.8 states/eV per cell.

Unit cell a=12.4950 b=12.4950 c=2.5372 alpha=90.00 beta=90.00 gamma=120.00
Last column: nearest neighbours and their distance in Å.
Element x y z (fractional)
C  0.0000  0.3311  0.0000  2 C 1.27
C  0.0000  0.3314  0.5000  2 C 1.27
C  0.3311  0.0000  0.0000  2 C 1.27
C  0.3314  0.0000  0.5000  2 C 1.27
C  0.6689  0.6689  0.0000  2 C 1.27
C  0.6686  0.6686  0.5000  2 C 1.27
Se  0.0000  0.0000  0.0000  2 Se 2.54
Se  0.3333  0.6667  0.5000  2 Se 2.54
Se  0.6667  0.3333  0.5000  2 Se 2.54

***

Record 11
DFT (PBE) results for C5Se3 after structural relaxation.

Summary:
Its total DFT energy (no corrections) is -5.67 eV per atom. The formation energy without anion corrections is 1.401 eV/atom.

Unit cell a=5.4815 b=8.5202 c=9.1559 alpha=110.77 beta=100.02 gamma=105.34
Last column: nearest neighbours and their distance in Å.
Element x y z (fractional)
C  0.0000  0.0000  0.0000  1 C 1.23
C  0.0221  0.2706  0.9075  1 C 1.24
C  0.2020  0.8584  0.6304  1 C 1.27
C  0.3692  0.9388  0.7713  1 C 1.27
C  0.3954  0.9730  0.4232  3 Se 1.94-2.03
C  0.6481  0.6072  0.5905  1 C 1.25
C  0.6806  0.6585  0.4809  1 C 1.25
C  0.8415  0.8453  0.9195  1 C 1.23
C  0.8653  0.2233  0.7710  1 C 1.24
C  0.8909  0.9771  0.4234  4 Se 1.94-2.14
Se  0.0211  0.7658  0.4133  1 C 1.83
Se  0.1923  0.2422  0.0845  2 C 1.84-1.85
Se  0.2321  0.1533  0.4528  2 C 1.94-1.97
Se  0.5841  0.9382  0.2541  2 C 1.94-1.99
Se  0.6181  0.6118  0.7892  2 C 1.84
Se  0.6893  0.9911  0.6049  2 C 1.87-2.03

***

Record 12
DFT (PBE) results for C5Se after structural relaxation.

Summary:
Its total DFT energy (no corrections) is -4.89 eV per atom. The formation energy without anion corrections is 3.373 eV/atom. As for the density of states at the Fermi level: 4.4 states/eV per cell.

Unit cell a=3.4855 b=3.4855 c=7.8170 alpha=90.00 beta=90.00 gamma=120.00
Last column: nearest neighbours and their distance in Å.
Element x y z (fractional)
C  0.0000  0.5000  0.0000  4 C 1.74
C  0.3333  0.6667  0.5000  3 Se 2.01, 3 C 2.01
C  0.5000  0.0000  0.0000  4 C 1.74
C  0.5000  0.5000  0.0000  4 C 1.74
C  0.6667  0.3333  0.5000  3 Se 2.01, 3 C 2.01
Se  0.0000  0.0000  0.5000  6 C 2.01